No. 1
{
  "formula": "PbSeBr",
  "functional": "PBE",
  "state": "relaxed",
  "cell": [[4.1864, 0.0000, 0.0000], [-2.0932, 3.6256, 0.0000], [0.0000, 0.0000, 6.3949]],
  "species": ["Pb", "Se", "Br"],
  "frac_coords": [[0.0000, 0.0000, 0.0000], [0.6667, 0.3333, 0.2405], [0.3333, 0.6667, 0.6893]],
  "space_group": "No. 156",
  "energy_ev_per_atom": -3.337,
  "dos_ef_per_ev_atom": 0.973,
  "e_form_raw_mev_per_atom": -381.4
}

=====

No. 2
{
  "formula": "PbSeBr3",
  "functional": "PBE",
  "state": "relaxed",
  "cell": [[5.8400, 0.0000, 0.0000], [0.0000, 5.8400, 0.0000], [0.0000, 0.0000, 5.8400]],
  "species": ["Pb", "Se", "Br", "Br", "Br"],
  "frac_coords": [[0.0000, 0.0000, 0.0000], [0.5000, 0.5000, 0.5000], [0.0000, 0.0000, 0.5000], [0.0000, 0.5000, 0.0000], [0.5000, 0.0000, 0.0000]],
  "space_group": "No. 221",
  "energy_ev_per_atom": -2.453,
  "dos_ef_per_ev_atom": 1.355,
  "e_form_raw_mev_per_atom": -10.8
}

=====

No. 3
{
  "formula": "Pb2SeBr",
  "functional": "PBE",
  "state": "relaxed",
  "cell": [[8.2933, 0.0000, 0.0000], [0.0000, 8.2933, 0.0000], [0.0000, 0.0000, 7.4534]],
  "species": ["Pb", "Pb", "Pb", "Pb", "Pb", "Pb", "Pb", "Pb", "Se", "Se", "Se", "Se", "Br", "Br", "Br", "Br"],
  "frac_coords": [[0.2260, 0.2500, 0.1250], [0.2500, 0.7260, 0.3750], [0.2500, 0.7740, 0.8750], [0.2740, 0.2500, 0.6250], [0.7260, 0.7500, 0.6250], [0.7500, 0.2260, 0.8750], [0.7500, 0.2740, 0.3750], [0.7740, 0.7500, 0.1250], [0.0000, 0.0000, 0.0000], [0.0000, 0.5000, 0.2500], [0.5000, 0.0000, 0.7500], [0.5000, 0.5000, 0.5000], [0.0000, 0.0000, 0.5000], [0.0000, 0.5000, 0.7500], [0.5000, 0.0000, 0.2500], [0.5000, 0.5000, 0.0000]],
  "space_group": "No. 122",
  "energy_ev_per_atom": -3.552,
  "dos_ef_per_ev_atom": 0.638,
  "e_form_raw_mev_per_atom": -408.3
}

=====

No. 4
{
  "formula": "Pb7SeBr12",
  "functional": "PBE",
  "state": "relaxed",
  "cell": [[7.9172, 4.5710, 3.6433], [-7.9172, 4.5710, 3.6433], [0.0000, -9.1420, 3.6433]],
  "species": ["Pb", "Pb", "Pb", "Pb", "Pb", "Pb", "Pb", "Se", "Br", "Br", "Br", "Br", "Br", "Br", "Br", "Br", "Br", "Br", "Br", "Br"],
  "frac_coords": [[0.0000, 0.0000, 0.0000], [0.1537, 0.4688, 0.3800], [0.3800, 0.1537, 0.4688], [0.4688, 0.3800, 0.1537], [0.5312, 0.6200, 0.8463], [0.6200, 0.8463, 0.5312], [0.8463, 0.5312, 0.6200], [0.5000, 0.5000, 0.5000], [0.0430, 0.1320, 0.3415], [0.1320, 0.3415, 0.0430], [0.1864, 0.5688, 0.7124], [0.2876, 0.8136, 0.4312], [0.3415, 0.0430, 0.1321], [0.4312, 0.2876, 0.8136], [0.5688, 0.7124, 0.1864], [0.6585, 0.9570, 0.8679], [0.7124, 0.1864, 0.5688], [0.8136, 0.4312, 0.2876], [0.8679, 0.6585, 0.9570], [0.9570, 0.8679, 0.6585]],
  "space_group": "No. 148",
  "energy_ev_per_atom": -3.344,
  "dos_ef_per_ev_atom": 0.000,
  "e_form_raw_mev_per_atom": -867.8
}

=====

No. 5
{
  "formula": "PbSeBr",
  "functional": "PBE",
  "state": "relaxed",
  "cell": [[7.2345, 0.0000, 0.0000], [0.0000, 7.2345, 0.0000], [0.0000, 0.0000, 7.2345]],
  "species": ["Pb", "Pb", "Pb", "Pb", "Se", "Se", "Se", "Se", "Br", "Br", "Br", "Br"],
  "frac_coords": [[0.0000, 0.0000, 0.0000], [0.0000, 0.5000, 0.5000], [0.5000, 0.0000, 0.5000], [0.5000, 0.5000, 0.0000], [0.2500, 0.2500, 0.2500], [0.2500, 0.7500, 0.7500], [0.7500, 0.2500, 0.7500], [0.7500, 0.7500, 0.2500], [0.0000, 0.0000, 0.5000], [0.0000, 0.5000, 0.0000], [0.5000, 0.0000, 0.0000], [0.5000, 0.5000, 0.5000]],
  "space_group": "No. 216",
  "energy_ev_per_atom": -3.083,
  "dos_ef_per_ev_atom": 0.606,
  "e_form_raw_mev_per_atom": -128.1
}

=====

No. 6
{
  "formula": "Pb2SeBr",
  "functional": "PBE",
  "state": "relaxed",
  "cell": [[7.6544, 0.0000, 0.0000], [0.0000, 7.6544, 0.0000], [0.0000, 0.0000, 7.6544]],
  "species": ["Pb", "Pb", "Pb", "Pb", "Pb", "Pb", "Pb", "Pb", "Se", "Se", "Se", "Se", "Br", "Br", "Br", "Br"],
  "frac_coords": [[0.0000, 0.0000, 0.0000], [0.0000, 0.5000, 0.5000], [0.2500, 0.2500, 0.2500], [0.2500, 0.7500, 0.7500], [0.5000, 0.0000, 0.5000], [0.5000, 0.5000, 0.0000], [0.7500, 0.2500, 0.7500], [0.7500, 0.7500, 0.2500], [0.2500, 0.2500, 0.7500], [0.2500, 0.7500, 0.2500], [0.7500, 0.2500, 0.2500], [0.7500, 0.7500, 0.7500], [0.0000, 0.0000, 0.5000], [0.0000, 0.5000, 0.0000], [0.5000, 0.0000, 0.0000], [0.5000, 0.5000, 0.5000]],
  "space_group": "No. 216",
  "energy_ev_per_atom": -3.153,
  "dos_ef_per_ev_atom": 0.736,
  "e_form_raw_mev_per_atom": -9.7
}

=====

No. 7
{
  "formula": "PbSeBr",
  "functional": "PBE",
  "state": "relaxed",
  "cell": [[4.3139, 0.0000, 0.0000], [0.0000, 4.3098, 0.0000], [-0.0067, 0.0000, 9.2154]],
  "species": ["Pb", "Pb", "Se", "Se", "Br", "Br"],
  "frac_coords": [[0.2472, 0.2500, 0.2531], [0.7528, 0.7500, 0.7469], [0.2503, 0.7500, 0.5000], [0.7497, 0.2500, 0.5000], [0.2506, 0.2500, 0.8683], [0.7494, 0.7500, 0.1317]],
  "space_group": "No. 11",
  "energy_ev_per_atom": -3.504,
  "dos_ef_per_ev_atom": 0.090,
  "e_form_raw_mev_per_atom": -548.8
}

=====

No. 8
{
  "formula": "Pb2SeBr",
  "functional": "PBE",
  "state": "relaxed",
  "cell": [[4.2926, 0.0000, 0.0000], [0.0000, 6.4595, 0.0000], [0.0000, 0.0000, 8.8363]],
  "species": ["Pb", "Pb", "Pb", "Pb", "Se", "Se", "Br", "Br"],
  "frac_coords": [[0.0000, 0.0000, 0.2325], [0.0000, 0.0000, 0.7675], [0.5000, 0.5000, 0.2675], [0.5000, 0.5000, 0.7325], [0.0000, 0.5000, 0.5000], [0.5000, 0.0000, 0.0000], [0.0000, 0.5000, 0.0000], [0.5000, 0.0000, 0.5000]],
  "space_group": "No. 71",
  "energy_ev_per_atom": -3.517,
  "dos_ef_per_ev_atom": 0.372,
  "e_form_raw_mev_per_atom": -373.4
}

=====

No. 9
{
  "formula": "Pb2SeBr",
  "functional": "PBE",
  "state": "relaxed",
  "cell": [[12.4705, 0.0000, 0.0000], [0.0000, 4.0375, 0.0000], [-0.6931, 0.0000, 5.0161]],
  "species": ["Pb", "Pb", "Pb", "Pb", "Se", "Se", "Br", "Br"],
  "frac_coords": [[0.0000, 0.0000, 0.0000], [0.2246, 0.5000, 0.3906], [0.5000, 0.5000, 0.0000], [0.7246, 0.0000, 0.3906], [0.4974, 0.0000, 0.4269], [0.9974, 0.5000, 0.4269], [0.2424, 0.0000, 0.8657], [0.7424, 0.5000, 0.8657]],
  "space_group": "No. 8",
  "energy_ev_per_atom": -3.546,
  "dos_ef_per_ev_atom": 0.271,
  "e_form_raw_mev_per_atom": -402.0
}

=====

No. 10
{
  "formula": "Pb2SeBr",
  "functional": "PBE",
  "state": "relaxed",
  "cell": [[3.8913, 0.0000, 0.0000], [0.0000, 5.3457, 0.0000], [0.0000, 0.0000, 5.3587]],
  "species": ["Pb", "Pb", "Se", "Br"],
  "frac_coords": [[0.0000, 0.0000, 0.0000], [0.0000, 0.5000, 0.5000], [0.5000, 0.0000, 0.5000], [0.5000, 0.5000, 0.0000]],
  "space_group": "No. 47",
  "energy_ev_per_atom": -3.505,
  "dos_ef_per_ev_atom": 0.439,
  "e_form_raw_mev_per_atom": -361.0
}

=====

No. 11
{
  "formula": "Pb2SeBr",
  "functional": "PBE",
  "state": "relaxed",
  "cell": [[3.9723, 0.0000, 0.0000], [0.0000, 4.2693, 0.0000], [0.0000, 0.0000, 15.1401]],
  "species": ["Pb", "Pb", "Pb", "Pb", "Se", "Se", "Br", "Br"],
  "frac_coords": [[0.0000, 0.0000, 0.0000], [0.0000, 0.5000, 0.2963], [0.5000, 0.0000, 0.7963], [0.5000, 0.5000, 0.5000], [0.0000, 0.5000, 0.8602], [0.5000, 0.0000, 0.3602], [0.0000, 0.0000, 0.6211], [0.5000, 0.5000, 0.1211]],
  "space_group": "No. 44",
  "energy_ev_per_atom": -3.623,
  "dos_ef_per_ev_atom": 0.258,
  "e_form_raw_mev_per_atom": -479.2
}

=====

No. 12
{
  "formula": "PbSe4Br",
  "functional": "PBE",
  "state": "relaxed",
  "cell": [[0.0000, 4.1526, 4.1526], [4.1526, 0.0000, 4.1526], [4.1526, 4.1526, 0.0000]],
  "species": ["Pb", "Se", "Se", "Se", "Se", "Br"],
  "frac_coords": [[0.0000, 0.0000, 0.0000], [0.1254, 0.6249, 0.6249], [0.6249, 0.1254, 0.6249], [0.6249, 0.6249, 0.1254], [0.6249, 0.6249, 0.6249], [0.2500, 0.2500, 0.2500]],
  "space_group": "No. 216",
  "energy_ev_per_atom": -3.024,
  "dos_ef_per_ev_atom": 1.445,
  "e_form_raw_mev_per_atom": 195.4
}